# YBi3B GGA-PBE relaxed
# * density of states at the Fermi level: 0.983 states/eV per atom
# * E above lowest polymorph: 0.852 eV/atom
# * electronic total energy: -3.68 eV/atom
# * space group: Pm-3m (221)
data_YBi3B
_chemical_formula_sum 'Y1 Bi3 B1'
_cell_length_a 5.8731
_cell_length_b 5.8731
_cell_length_c 5.8731
_cell_angle_alpha 90.00
_cell_angle_beta 90.00
_cell_angle_gamma 90.00
_space_group_name_H-M_alt 'P 1'
_space_group_IT_number 1
loop_
_space_group_symop_operation_xyz
'x,y,z'
loop_
_atom_site_label
_atom_site_type_symbol
_atom_site_fract_x
_atom_site_fract_y
_atom_site_fract_z
_atom_site_occupancy
Y1 Y 0.0000 0.0000 0.0000 1
Bi1 Bi 0.0000 0.5000 0.0000 1
Bi2 Bi 0.0000 0.0000 0.5000 1
Bi3 Bi 0.5000 0.0000 0.0000 1
B1 B 0.5000 0.5000 0.5000 1